Entry 1:
Entry from Alexandria: MgCu2Se2 after structural relaxation (PBE).

Computed properties:
- SG: P2_1/m, No. 11

The structure in extended XYZ format:
```
10
Lattice="3.9837 0.0000 0.0000 0.0000 6.6304 -0.4382 0.0000 0.4992 6.8360" Properties=species:S:1:pos:R:3 pbc="T T T"
Cu 0.9959 0.6476 0.5935
Cu 2.9878 6.4820 5.8043
Se 0.9959 1.9895 2.7899
Se 0.9959 4.8587 0.2116
Cu 0.9959 6.5856 3.7995
Cu 2.9878 0.5440 2.5983
Mg 0.9959 3.6865 4.9718
Se 2.9878 2.2709 6.1862
Mg 2.9878 3.4431 1.4260
Se 2.9878 5.1401 3.6080
```

---

Entry 2:
Entry from Alexandria: Zn2NiTe after structural relaxation (PBE).

Computed properties:
- SG: Cm, No. 8

The structure in extended XYZ format:
```
4
Lattice="-2.4509 2.0885 3.1864 -3.0374 -0.9456 3.2253 3.0567 -0.5213 5.4252" Properties=species:S:1:pos:R:3 pbc="T T T"
Zn -2.2105 0.5410 8.8845
Zn 2.7253 -0.4610 5.1365
Ni -1.0735 0.2937 6.7349
Te -0.0322 0.0373 2.4247
```

---

Entry 3:
Entry from Alexandria: TaPtCl2 after structural relaxation (PBE).

Computed properties:
- SG: Pm, No. 6

The structure in extended XYZ format:
```
4
Lattice="-2.2925 0.3940 -2.0807 -1.5009 -3.3658 1.0164 -5.0622 1.8667 5.9311" Properties=species:S:1:pos:R:3 pbc="T T T"
Ta -6.0509 -1.8037 3.9849
Cl -5.9651 -1.1264 6.3591
Pt -3.5402 -0.8251 3.7444
Cl -3.1441 0.4017 1.1996
```

---

no.,density (g/cm3),formation energy from raw total energies (meV per atom),N(E_F) (states/eV per cell)
1,5.66,-472,0.24
2,6.78,-40,1.44
3,7.99,-663,0.98